Record 1
Material: TaTl2Pb
Method: DFT, PBE
State: optimized geometry

The calculation puts the total energy at -4.470 eV/atom. As for the energy relative to the elements: 2.412 eV/f.u.

The structure belongs to space group P2/m (No. 10); the cell edges are 3.2465, 5.2807 and 6.0678 Å and the angles 90.00°, 105.51° and 90.00°. Symmetry generates all atoms from Ta at (0.0000, 0.0000, 0.0000), Tl at (0.1496, 0.5000, 0.7683) and Pb at (0.5000, 0.0000, 0.5000).

Record 2
Material: La5Pr2YMg
Method: DFT, PBE
State: optimized geometry

The calculation puts the total energy at -4.624 eV/atom. As for the energy relative to the elements: 0.635 eV/f.u.

The structure belongs to space group Cmc2_1 (No. 36); the cell edges are 5.6713, 20.2457 and 11.1649 Å and the angles 90.00°, 90.00° and 90.00°. Symmetry generates all atoms from La at (0.0000, 0.9997, 0.0000), La at (0.0000, 0.1213, 0.2499), La at (0.0000, 0.2131, 0.5499), La at (0.0000, 0.2127, 0.9509), La at (0.0000, 0.4884, 0.2500), Pr at (0.0000, 0.3832, 0.9602), Pr at (0.0000, 0.3838, 0.5395), Y at (0.0000, 0.3058, 0.2503) and Mg at (0.0000, 0.0952, 0.7503).

Record 3
Material: AcTb2Tl
Method: DFT, PBE
State: optimized geometry

The calculation puts the total energy at -3.891 eV/atom. As for the energy relative to the elements: 0.173 eV/f.u.

The structure belongs to space group Fm-3m (No. 225); the cell edges are 7.9632, 7.9632 and 7.9632 Å and the angles 90.00°, 90.00° and 90.00°. Symmetry generates all atoms from Ac at (0.0000, 0.0000, 0.0000), Tb at (0.2500, 0.2500, 0.2500) and Tl at (0.0000, 0.0000, 0.5000).

Record 4
Material: HfThPa
Method: DFT, PBE
State: optimized geometry

The calculation puts the total energy at -8.699 eV/atom. As for the energy relative to the elements: 0.774 eV/f.u.

The structure belongs to space group P3m1 (No. 156); the cell edges are 5.3060, 5.3060 and 3.2857 Å and the angles 90.00°, 90.00° and 120.00°. Symmetry generates all atoms from Hf at (0.0000, 0.0000, 0.0000), Th at (0.6667, 0.3333, 0.4631) and Pa at (0.3333, 0.6667, 0.9092).

Record 5
Material: PtSe2N
Method: DFT, PBE
State: optimized geometry

The calculation puts the total energy at -4.329 eV/atom. As for the uncorrected formation energy: 1.005 eV/atom.

The structure belongs to space group R-3m (No. 166, hexagonal axes); the cell edges are 3.0637, 3.0637 and 23.7325 Å and the angles 90.00°, 90.00° and 120.00°. Symmetry generates all atoms from Pt at (0.0000, 0.0000, 0.0000), Se at (0.0000, 0.0000, 0.1031) and N at (0.0000, 0.0000, 0.5000).

Record 6
Material: AlAgP2F
Method: DFT, PBE
State: optimized geometry

The calculation puts the total energy at -3.432 eV/atom. As for the uncorrected formation energy: 0.425 eV/atom.

The structure belongs to space group P4/mmm (No. 123); the cell edges are 4.4898, 4.4898 and 5.2124 Å and the angles 90.00°, 90.00° and 90.00°. Symmetry generates all atoms from Al at (0.0000, 0.0000, 0.0000), Ag at (0.0000, 0.0000, 0.5000), P at (0.0000, 0.5000, 0.0000) and F at (0.5000, 0.5000, 0.5000).

Record 7
Material: NaNdPdPb
Method: DFT, PBE
State: optimized geometry

The calculation puts the total energy at -4.202 eV/atom. As for the energy relative to the elements: -1.818 eV/f.u.

The structure belongs to space group F-43m (No. 216); the cell edges are 7.1395, 7.1395 and 7.1395 Å and the angles 90.00°, 90.00° and 90.00°. Symmetry generates all atoms from Na at (0.0000, 0.0000, 0.0000), Nd at (0.2500, 0.2500, 0.7500), Pd at (0.0000, 0.0000, 0.5000) and Pb at (0.2500, 0.2500, 0.2500).

Record 8
Material: MgCoAg2
Method: DFT, PBE
State: optimized geometry

The calculation puts the total energy at -3.422 eV/atom. As for the energy relative to the elements: 0.715 eV/f.u.

The structure belongs to space group P4/mmm (No. 123); the cell edges are 2.9655, 2.9655 and 7.4552 Å and the angles 90.00°, 90.00° and 90.00°. Symmetry generates all atoms from Mg at (0.0000, 0.0000, 0.0000), Co at (0.0000, 0.0000, 0.5000) and Ag at (0.5000, 0.5000, 0.2666).

Record 9
Material: TbInCo2
Method: DFT, PBE
State: optimized geometry

The calculation puts the total energy at -5.646 eV/atom. As for the energy relative to the elements: -1.003 eV/f.u.

The structure belongs to space group Pmma (No. 51); the cell edges are 5.0492, 4.0006 and 7.1761 Å and the angles 90.00°, 90.00° and 90.00°. Symmetry generates all atoms from Tb at (0.2500, 0.0000, 0.2209), In at (0.2500, 0.5000, 0.8493), Co at (0.0000, 0.5000, 0.5000) and Co at (0.2500, 0.0000, 0.5895).

Record 10
Material: BaScGaCu2
Method: DFT, PBE
State: optimized geometry

The calculation puts the total energy at -2.697 eV/atom. As for the energy relative to the elements: 5.989 eV/f.u.

The structure belongs to space group P4/mmm (No. 123); the cell edges are 5.2720, 5.2720 and 5.6571 Å and the angles 90.00°, 90.00° and 90.00°. Symmetry generates all atoms from Ba at (0.0000, 0.0000, 0.0000), Sc at (0.5000, 0.5000, 0.5000), Ga at (0.0000, 0.0000, 0.5000) and Cu at (0.0000, 0.5000, 0.0000).

Record 11
Material: Ca3Cd9Ge2
Method: DFT, PBE
State: optimized geometry

The calculation puts the total energy at -1.899 eV/atom. As for the energy relative to the elements: -3.110 eV/f.u.

The structure belongs to space group Immm (No. 71); the cell edges are 4.7663, 11.1330 and 12.8359 Å and the angles 90.00°, 90.00° and 90.00°. Symmetry generates all atoms from Ca at (0.0000, 0.0000, 0.0000), Ca at (0.0000, 0.0000, 0.3013), Cd at (0.0000, 0.2793, 0.1435), Cd at (0.0000, 0.3714, 0.3598), Cd at (0.0000, 0.5000, 0.0000) and Ge at (0.0000, 0.1704, 0.5000).

Record 12
Material: Na2PuAgSb2
Method: DFT, PBE
State: optimized geometry

The calculation puts the total energy at -5.092 eV/atom. As for the uncorrected formation energy: -0.414 eV/atom.

The structure belongs to space group Pmc2_1 (No. 26); the cell edges are 4.6767, 9.0559 and 7.6094 Å and the angles 90.00°, 90.00° and 90.00°. Symmetry generates all atoms from Na at (0.0000, 0.0748, 0.0000), Na at (0.5000, 0.1610, 0.3194), Pu at (0.5000, 0.4583, 0.9558), Ag at (0.0000, 0.3118, 0.6096), Sb at (0.0000, 0.3829, 0.2314) and Sb at (0.5000, 0.1717, 0.7283).